PrIn2Pt3 (GGA-PBE, optimized geometry); M_tot = 0.00 μB per atom; total energy = -5.50 eV/atom
1.0
10.375 0.000 0.000
0.000 4.621 0.000
0.000 0.000 10.090
Pr In Pt
4 8 12
Direct
0.230 0.750 0.555
0.270 0.250 0.055
0.770 0.250 0.445
0.730 0.750 0.945
0.104 0.250 0.340
0.896 0.750 0.660
0.982 0.250 0.886
0.396 0.750 0.840
0.482 0.250 0.614
0.018 0.750 0.114
0.604 0.250 0.160
0.518 0.750 0.386
0.880 0.250 0.144
0.030 0.250 0.604
0.620 0.750 0.644
0.120 0.750 0.856
0.741 0.750 0.243
0.470 0.750 0.104
0.530 0.250 0.896
0.970 0.750 0.396
0.759 0.250 0.743
0.380 0.250 0.356
0.241 0.750 0.257
0.259 0.250 0.757

***

TlCoCuMo (GGA-PBE, optimized geometry); M_tot = 0.17 μB per atom; total energy = -5.46 eV/atom
1.0
0.000 3.100 3.100
3.100 0.000 3.100
3.100 3.100 0.000
Co Mo Tl Cu
1 1 1 1
Direct
0.750 0.750 0.750
0.500 0.500 0.500
0.000 0.000 0.000
0.250 0.250 0.250